A crystal of BaIn2Si relaxed with PBEsol. Source: Alexandria, functional SCAN.

The structure in POSCAR format:
```
BaIn2Si
1.0
3.8291 0.0000 0.0000
0.0000 3.8291 0.0000
0.0000 0.0000 7.3949
Ba In Si
1 2 1
Direct
0.0000 0.0000 0.0000
0.0000 0.0000 0.5419
0.5000 0.5000 0.3247
0.5000 0.5000 0.6944
```

Properties
The value obtained for the formation energy without anion corrections is -0.151 eV per atom. The space-group type is P4mm (99).


A crystal of Ba2InSi relaxed with PBEsol. Source: Alexandria, functional SCAN.

The structure in POSCAR format:
```
Ba2InSi
1.0
4.4716 0.0000 0.0000
0.0000 2.5025 6.2815
0.0000 -2.5025 6.2815
Ba In Si
2 1 1
Direct
0.0000 0.0000 0.0000
0.5000 0.2845 0.2845
0.0000 0.6994 0.6994
0.5000 0.5737 0.5737
```

Properties
The value obtained for the formation energy without anion corrections is -0.464 eV per atom. The space-group type is Amm2 (38).


A crystal of BaIn2Sn2 relaxed with PBEsol. Source: Alexandria, functional SCAN.

The structure in POSCAR format:
```
BaIn2Sn2
1.0
-2.4492 2.4492 6.4171
2.4492 -2.4492 6.4171
2.4492 2.4492 -6.4171
Ba In Sn
1 2 2
Direct
0.0000 0.0000 0.0000
0.2500 0.7500 0.5000
0.7500 0.2500 0.5000
0.3838 0.3838 0.0000
0.6162 0.6162 0.0000
```

Properties
As for the calculated formation energy: -203 kJ/mol of formula units. The space-group type is I4/mmm (139).


A crystal of Ba2SrIn relaxed with PBEsol. Source: Alexandria, functional SCAN.

The structure in POSCAR format:
```
Ba2SrIn
1.0
4.2446 0.0000 0.0000
0.0000 4.2446 0.0000
0.0000 0.0000 10.2423
Ba Sr In
2 1 1
Direct
0.0000 0.0000 0.1893
0.0000 0.0000 0.8107
0.5000 0.5000 0.5000
0.5000 0.5000 0.0000
```

Properties
As for the calculated formation energy: -111 kJ/mol of formula units. Its polymorph energy (0 for the lowest one) is 0.0 meV/atom. The space-group type is P4/mmm (123).


A crystal of BaSrIn relaxed with PBEsol. Source: Alexandria, functional SCAN.

The structure in POSCAR format:
```
BaSrIn
1.0
5.7532 0.0000 0.0000
-2.8766 4.9824 0.0000
0.0000 0.0000 4.0870
Ba Sr In
1 1 1
Direct
0.0000 0.0000 0.0000
0.6667 0.3333 0.5729
0.3333 0.6667 0.3671
```

Properties
As for the calculated formation energy: -74 kJ/mol of formula units. The space-group type is P3m1 (156).


A crystal of Ba2SrIn relaxed with PBEsol. Source: Alexandria, functional SCAN.

The structure in POSCAR format:
```
Ba2SrIn
1.0
4.1306 0.0000 0.0000
0.0000 4.1306 0.0000
0.0000 0.0000 10.6821
Ba Sr In
2 1 1
Direct
0.0000 0.0000 0.0000
0.5000 0.5000 0.3280
0.5000 0.5000 0.6955
0.0000 0.0000 0.5247
```

Properties
As for the calculated formation energy: -108 kJ/mol of formula units. Its polymorph energy (0 for the lowest one) is 8.6 meV/atom. The space-group type is P4mm (99).


A crystal of Ba2SrIn2 relaxed with PBEsol. Source: Alexandria, functional SCAN.

The structure in POSCAR format:
```
Ba2SrIn2
1.0
-2.5868 2.5868 7.5634
2.5868 -2.5868 7.5634
2.5868 2.5868 -7.5634
Ba Sr In
2 1 2
Direct
0.2500 0.7500 0.5000
0.7500 0.2500 0.5000
0.0000 0.0000 0.0000
0.4090 0.4090 0.0000
0.5910 0.5910 0.0000
```

Properties
As for the calculated formation energy: -155 kJ/mol of formula units. Its polymorph energy (0 for the lowest one) is 91.9 meV/atom. The space-group type is I4/mmm (139).


A crystal of BaSrIn relaxed with PBEsol. Source: Alexandria, functional SCAN.

The structure in POSCAR format:
```
BaSrIn
1.0
-2.0764 2.0764 7.1508
2.0764 -2.0764 7.1508
2.0764 2.0764 -7.1508
Ba Sr In
1 1 1
Direct
0.0000 0.0000 0.0000
0.2673 0.2673 0.0000
0.6444 0.6444 0.0000
```

Properties
As for the calculated formation energy: -117 kJ/mol of formula units. The space-group type is I4mm (107).


A crystal of BaSrIn4 relaxed with PBEsol. Source: Alexandria, functional SCAN.

The structure in POSCAR format:
```
BaSrIn4
1.0
0.0000 4.4273 4.4273
4.4273 0.0000 4.4273
4.4273 4.4273 0.0000
Ba Sr In
1 1 4
Direct
0.0000 0.0000 0.0000
0.7500 0.7500 0.7500
0.3752 0.3752 0.3752
0.3752 0.3752 0.8745
0.3752 0.8745 0.3752
0.8745 0.3752 0.3752
```

Properties
As for the calculated formation energy: -315 kJ/mol of formula units. The space-group type is F-43m (216).


A crystal of Ba2SrIn2 relaxed with PBEsol. Source: Alexandria, functional SCAN.

The structure in POSCAR format:
```
Ba2SrIn2
1.0
9.5893 0.0000 0.0000
0.0000 9.5893 0.0000
0.0000 0.0000 4.3551
Ba Sr In
4 2 4
Direct
0.1686 0.3314 0.0000
0.3314 0.8314 0.0000
0.6686 0.1686 0.0000
0.8314 0.6686 0.0000
0.0000 0.0000 0.5000
0.5000 0.5000 0.5000
0.1238 0.6238 0.5000
0.3762 0.1238 0.5000
0.6238 0.8762 0.5000
0.8762 0.3762 0.5000
```

Properties
As for the calculated formation energy: -199 kJ/mol of formula units. Its polymorph energy (0 for the lowest one) is 0.0 meV/atom. The space-group type is P4/mbm (127).


A crystal of Ba2SrIn relaxed with PBEsol. Source: Alexandria, functional SCAN.

The structure in POSCAR format:
```
Ba2SrIn
1.0
-2.1123 3.1589 6.7362
2.1123 -3.1589 6.7362
2.1123 3.1589 -6.7362
Ba Sr In
2 1 1
Direct
0.0000 0.0000 0.0000
0.6982 0.1982 0.5000
0.4009 0.4009 0.0000
0.2070 0.7070 0.5000
```

Properties
As for the calculated formation energy: -107 kJ/mol of formula units. Its polymorph energy (0 for the lowest one) is 9.2 meV/atom. The space-group type is Imm2 (44).


A crystal of BaInTc2 relaxed with PBEsol. Source: Alexandria, functional SCAN.

The structure in POSCAR format:
```
BaInTc2
1.0
4.7996 -1.8984 0.0000
4.7996 1.8984 0.0000
-1.9789 0.0000 5.7670
Ba In Tc
1 1 2
Direct
0.0000 0.0000 0.0000
0.5000 0.5000 0.5000
0.2420 0.2420 0.6034
0.7580 0.7580 0.3966
```

Properties
As for the calculated formation energy: 147 kJ/mol of formula units. Its polymorph energy (0 for the lowest one) is 232.0 meV/atom. The space-group type is C2/m (12).